Run w
A relaxed structure of CdBRh3. Source: the Alexandria database, functional PBE.

## Properties
space group	P-1

abc: 2.8538 5.3907 9.3995
angles: 76.50 81.29 89.99
With the nearest neighbours (Å) after each atom.
Sites, in units of the cell vectors:
Cd1 0.0719 0.2236 0.3561  3 Cd 2.85-3.15, 10 Rh 2.90-3.07, 2 B 2.95-3.05
Cd2 0.9281 0.7764 0.6439  3 Cd 2.85-3.15, 10 Rh 2.90-3.07, 2 B 2.95-3.05
B1 0.1453 0.7938 0.2101  6 Rh 2.12-2.19
B2 0.8547 0.2062 0.7899  6 Rh 2.12-2.19
Rh1 0.3046 0.9178 0.8907  2 B 2.15
Rh2 0.3061 0.4276 0.8876  2 B 2.19
Rh3 0.4414 0.2896 0.6160  2 B 2.12
Rh4 0.5586 0.7104 0.3840  2 B 2.12
Rh5 0.6939 0.5724 0.1124  2 B 2.19
Rh6 0.6954 0.0822 0.1093  2 B 2.15

---

Run x
A relaxed structure of CdBRh3. Source: the Alexandria database, functional PBE.

## Properties
space group	Amm2

abc: 2.8531 5.1726 5.1726
angles: 81.96 90.00 90.00
With the nearest neighbours (Å) after each atom.
Sites, in units of the cell vectors:
Cd1 0.0000 0.0000 0.0000  9 Rh 2.84-3.06, 2 Cd 2.85
B1 0.5000 0.4535 0.4535  4 Rh 1.99-2.02
Rh1 0.0000 0.6370 0.6370  2 B 2.02
Rh2 0.5000 0.0670 0.4718  1 B 1.99
Rh3 0.5000 0.4718 0.0670  1 B 1.99

---

Of them, the most stable is run w and the least stable is run x.

---

Run w
A relaxed structure of CaRe3Au. Source: the Alexandria database, functional PBE.

## Properties
space group	Pm-3m

abc: 4.9035 4.9035 4.9035
angles: 90.00 90.00 90.00
With the nearest neighbours (Å) after each atom.
Sites, in units of the cell vectors:
Ca1 0.0000 0.0000 0.0000  12 Re 3.47
Re1 0.0000 0.5000 0.5000  2 Au 2.45
Re2 0.5000 0.0000 0.5000  2 Au 2.45
Re3 0.5000 0.5000 0.0000  2 Au 2.45
Au1 0.5000 0.5000 0.5000  6 Re 2.45

---

Run x
A relaxed structure of CaRe3Au. Source: the Alexandria database, functional PBE.

## Properties
space group	Pm-3m

abc: 4.5775 4.5775 4.5775
angles: 90.00 90.00 90.00
With the nearest neighbours (Å) after each atom.
Sites, in units of the cell vectors:
Ca1 0.0000 0.0000 0.0000  6 Re 2.29
Re1 0.0000 0.0000 0.5000  2 Ca 2.29
Re2 0.0000 0.5000 0.0000  2 Ca 2.29
Re3 0.5000 0.0000 0.0000  2 Ca 2.29
Au1 0.5000 0.5000 0.5000  12 Re 3.24

---

Of them, the most stable is run w and the least stable is run x.

---

Run w
A relaxed structure of K2BaCr. Source: the Alexandria database, functional PBE.

## Properties
space group	Fm-3m

abc: 6.4873 6.4873 6.4873
angles: 60.00 60.00 60.00
With the nearest neighbours (Å) after each atom.
Sites, in units of the cell vectors:
K1 0.2500 0.2500 0.2500  4 Cr 3.97, 4 Ba 3.97
K2 0.7500 0.7500 0.7500  4 Ba 3.97, 4 Cr 3.97
Ba1 0.0000 0.0000 0.0000  8 K 3.97
Cr1 0.5000 0.5000 0.5000  8 K 3.97

---

Run x
A relaxed structure of K2BaCr. Source: the Alexandria database, functional PBE.

## Properties
space group	C2/m

abc: 8.1513 8.1513 4.4677
angles: 104.75 104.75 125.46
With the nearest neighbours (Å) after each atom.
Sites, in units of the cell vectors:
K1 0.0000 0.5000 0.0000  4 K 3.73-3.92, 2 Ba 4.12, 2 Cr 4.12
K2 0.5000 0.0000 0.0000  4 K 3.73-3.92, 2 Cr 4.12, 2 Ba 4.12
Ba1 0.0000 0.0000 0.5000  4 Cr 3.73-3.92, 4 K 4.12
Cr1 0.5000 0.5000 0.5000  4 Ba 3.73-3.92, 4 K 4.12

---

Of them, the most stable is run x and the least stable is run w.

---

Run w
A relaxed structure of Tl3HgRh. Source: the Alexandria database, functional PBE.

## Properties
space group	P1

abc: 5.3652 5.3816 9.7332
angles: 98.85 97.72 97.82
With the nearest neighbours (Å) after each atom.
Sites, in units of the cell vectors:
Tl1 0.0000 0.0000 0.0000  6 Tl 3.35-3.59, 4 Hg 3.43-3.62
Tl2 0.0362 0.5553 0.2386  3 Rh 2.68-2.96
Tl3 0.3948 0.3682 0.5194  3 Rh 2.70-3.01
Tl4 0.4522 0.9447 0.7797  1 Rh 2.76
Tl5 0.5490 0.0349 0.2367  3 Rh 2.69-2.98
Tl6 0.8892 0.8650 0.5322  2 Rh 2.71-2.72
Hg1 0.4737 0.4863 0.9680  1 Rh 2.75
Hg2 0.9430 0.4439 0.7639  2 Hg 3.20-3.42, 7 Tl 3.43-3.58
Rh1 0.3775 0.8593 0.4896  7 Tl 2.70-2.98, 1 Rh 2.94
Rh2 0.5408 0.5373 0.2566  4 Tl 2.68-2.71, 1 Hg 2.75, 1 Rh 2.94

---

Run x
A relaxed structure of Tl3HgRh. Source: the Alexandria database, functional PBE.

## Properties
space group	Pm-3m

abc: 5.3185 5.3185 5.3185
angles: 90.00 90.00 90.00
With the nearest neighbours (Å) after each atom.
Sites, in units of the cell vectors:
Tl1 0.0000 0.0000 0.5000  2 Rh 2.66
Tl2 0.0000 0.5000 0.0000  2 Rh 2.66
Tl3 0.5000 0.0000 0.0000  2 Rh 2.66
Hg1 0.5000 0.5000 0.5000  12 Tl 3.76
Rh1 0.0000 0.0000 0.0000  6 Tl 2.66

---

Of them, the most stable is run x and the least stable is run w.

---

Run w
A relaxed structure of HRh2W. Source: the Alexandria database, functional PBE.

## Properties
space group	I-42d

abc: 5.0494 5.0494 5.0494
angles: 104.64 104.64 119.65
With the nearest neighbours (Å) after each atom.
Sites, in units of the cell vectors:
H1 0.0000 0.0000 0.0000  4 Rh 1.91
H2 0.7500 0.2500 0.5000  4 Rh 1.91
Rh1 0.0258 0.6250 0.9008  2 H 1.91
Rh2 0.3750 0.2758 0.4008  2 H 1.91
Rh3 0.7242 0.1250 0.0992  2 H 1.91
Rh4 0.8750 0.9742 0.5992  2 H 1.91
W1 0.2500 0.7500 0.5000  2 H 2.54, 8 Rh 2.62-2.73
W2 0.5000 0.5000 0.0000  2 H 2.54, 8 Rh 2.62-2.73

---

Run x
A relaxed structure of HRh2W. Source: the Alexandria database, functional PBE.

## Properties
space group	R-3m

abc: 7.0947 7.0947 7.0947
angles: 22.69 22.69 22.69
With the nearest neighbours (Å) after each atom.
Sites, in units of the cell vectors:
H1 0.0000 0.0000 0.0000  6 Rh 2.03
Rh1 0.2734 0.2734 0.2734  3 H 2.03
Rh2 0.7266 0.7266 0.7266  3 H 2.03
W1 0.5000 0.5000 0.5000  6 Rh 2.74, 6 W 2.79

---

Of them, the most stable is run x and the least stable is run w.

---

Run w
A relaxed structure of AlRhCl2. Source: the Alexandria database, functional PBE.

## Properties
space group	C2/m

abc: 7.1156 7.1156 4.0025
angles: 95.87 95.87 25.96
With the nearest neighbours (Å) after each atom.
Sites, in units of the cell vectors:
Al1 0.0000 0.0000 0.0000  4 Rh 2.56, 4 Cl 2.58
Rh1 0.5000 0.5000 0.5000  2 Cl 2.35, 4 Al 2.56
Cl1 0.3609 0.3609 0.7883  1 Rh 2.35, 2 Al 2.58
Cl2 0.6391 0.6391 0.2117  1 Rh 2.35, 2 Al 2.58

---

Run x
A relaxed structure of AlRhCl2. Source: the Alexandria database, functional PBE.

## Properties
space group	Imm2

abc: 6.0957 6.0957 6.0957
angles: 151.11 100.70 86.49
With the nearest neighbours (Å) after each atom.
Sites, in units of the cell vectors:
Al1 0.0000 0.0000 0.0000  2 Cl 2.31, 2 Rh 2.49
Rh1 0.7774 0.2774 0.5000  2 Cl 2.27, 2 Al 2.49
Cl1 0.1961 0.6961 0.5000  2 Al 2.31
Cl2 0.5870 0.5870 0.0000  2 Rh 2.27

---

Of them, the most stable is run w and the least stable is run x.

---

Run w
A relaxed structure of LiTbGePt. Source: the Alexandria database, functional PBE.

## Properties
space group	R3m

abc: 5.4764 5.4764 5.4764
angles: 47.36 47.36 47.36
With the nearest neighbours (Å) after each atom.
Sites, in units of the cell vectors:
Li1 0.0000 0.0000 0.0000  3 Ge 2.77, 1 Tb 2.91, 3 Pt 2.93
Tb1 0.7999 0.7999 0.7999  4 Li 2.91-3.20, 3 Pt 2.92, 4 Ge 3.05-3.11
Ge1 0.5903 0.5903 0.5903  3 Pt 2.56, 3 Li 2.77
Pt1 0.2328 0.2328 0.2328  3 Ge 2.56

---

Run x
A relaxed structure of LiTbGePt. Source: the Alexandria database, functional PBE.

## Properties
space group	F-43m

abc: 4.6329 4.6329 4.6329
angles: 60.00 60.00 60.00
With the nearest neighbours (Å) after each atom.
Sites, in units of the cell vectors:
Li1 0.0000 0.0000 0.0000  4 Ge 2.84, 4 Tb 2.84
Tb1 0.7500 0.7500 0.7500  4 Li 2.84, 4 Pt 2.84
Ge1 0.2500 0.2500 0.2500  4 Li 2.84, 4 Pt 2.84
Pt1 0.5000 0.5000 0.5000  4 Ge 2.84, 4 Tb 2.84

---

Of them, the most stable is run x and the least stable is run w.

---

Run w
A relaxed structure of LiCrCl2. Source: the Alexandria database, functional PBE.

## Properties
space group	Cmmm

abc: 3.9139 3.9139 7.1092
angles: 90.00 90.00 125.38
With the nearest neighbours (Å) after each atom.
Sites, in units of the cell vectors:
Li1 0.0000 0.0000 0.0000  4 Cl 2.47
Cr1 0.0000 0.0000 0.5000  4 Cl 2.59
Cl1 0.5000 0.5000 0.2384  2 Li 2.47, 2 Cr 2.59
Cl2 0.5000 0.5000 0.7616  2 Li 2.47, 2 Cr 2.59

---

Run x
A relaxed structure of LiCrCl2. Source: the Alexandria database, functional PBE.

## Properties
space group	C2/m

abc: 5.0648 5.0648 4.0498
angles: 107.82 107.82 89.36
With the nearest neighbours (Å) after each atom.
Sites, in units of the cell vectors:
Li1 0.0000 0.0000 0.0000  4 Cl 2.53
Cr1 0.5000 0.5000 0.0000  4 Cl 2.53
Cl1 0.0000 0.5000 0.0000  2 Cr 2.53, 2 Li 2.53
Cl2 0.5000 0.0000 0.0000  2 Cr 2.53, 2 Li 2.53

---

Of them, the most stable is run x and the least stable is run w.